Below is an optimized crystal structure of KSr2Pt2, with properties calculated at the PBE-GGA level.

For the magnetization, the calculation gives 0.0 μB/f.u. The formation energy is -252 kJ/mol of formula units.

Cell: 8.4782 8.4782 4.0816 Å, 90.00 90.00 90.00°
With the nearest neighbours (Å) after each atom.
Element x y z (fractional)
1 K 0.0000 0.0000 0.0000  4 Pt 3.36
2 K 0.5000 0.5000 0.0000  4 Pt 3.36
3 Sr 0.1588 0.3412 0.5000  6 Pt 3.16-3.32
4 Sr 0.3412 0.8412 0.5000  6 Pt 3.16-3.32
5 Sr 0.6588 0.1588 0.5000  6 Pt 3.16-3.32
6 Sr 0.8412 0.6588 0.5000  6 Pt 3.16-3.32
7 Pt 0.1231 0.6231 0.0000  1 Pt 2.95, 4 Sr 3.16
8 Pt 0.3769 0.1231 0.0000  1 Pt 2.95, 4 Sr 3.16
9 Pt 0.6231 0.8769 0.0000  1 Pt 2.95, 4 Sr 3.16
10 Pt 0.8769 0.3769 0.0000  1 Pt 2.95, 4 Sr 3.16

=====

Below is an optimized crystal structure of Sm3AsSeS, with properties calculated at the PBE-GGA level.

For the magnetization, the calculation gives 0.6 μB/f.u. As for the formation energy without anion corrections: -1548 meV per atom.

Cell: 8.3371 4.1616 12.1068 Å, 90.00 109.41 90.00°
With the nearest neighbours (Å) after each atom.
Element x y z (fractional)
1 Sm 0.0355 0.2500 0.3780  3 S 2.73-2.77, 1 As 2.87
2 Sm 0.1868 0.7500 0.1221  3 As 2.85-2.94, 2 Se 2.94
3 Sm 0.3066 0.2500 0.8707  1 S 2.86, 2 As 2.94, 3 Se 2.97-3.04
4 Sm 0.6934 0.7500 0.1293  1 S 2.86, 2 As 2.94, 3 Se 2.97-3.04
5 Sm 0.8132 0.2500 0.8779  3 As 2.85-2.94, 2 Se 2.94
6 Sm 0.9645 0.7500 0.6220  3 S 2.73-2.77, 1 As 2.87
7 As 0.0591 0.7500 0.8723  6 Sm 2.85-2.94
8 As 0.9409 0.2500 0.1277  6 Sm 2.85-2.94
9 Se 0.4428 0.2500 0.1365  5 Sm 2.94-3.04
10 Se 0.5572 0.7500 0.8635  5 Sm 2.94-3.04
11 S 0.1758 0.2500 0.6203  4 Sm 2.73-2.86
12 S 0.8242 0.7500 0.3797  4 Sm 2.73-2.86

=====

Below is an optimized crystal structure of YNi2Hg, with properties calculated at the PBE-GGA level.

For the magnetization, the calculation gives 0.0 μB/f.u. The formation energy is -65 kJ/mol of formula units.

Cell: 5.2762 5.2762 5.2762 Å, 136.28 136.28 63.54°
With the nearest neighbours (Å) after each atom.
Element x y z (fractional)
1 Y 0.0000 0.0000 0.0000  8 Ni 2.78-2.98, 4 Hg 2.98
2 Ni 0.5000 0.5000 0.0000  4 Y 2.78, 4 Hg 2.98, 4 Ni 2.98
3 Ni 0.7500 0.2500 0.5000  4 Hg 2.78, 4 Ni 2.98, 4 Y 2.98
4 Hg 0.2500 0.7500 0.5000  8 Ni 2.78-2.98, 4 Y 2.98

=====

Below is an optimized crystal structure of Zr2BiS6, with properties calculated at the PBE-GGA level.

For the magnetization, the calculation gives 0.0 μB/f.u. As for the formation energy without anion corrections: -896 meV per atom.

Cell: 6.8540 6.8540 8.8356 Å, 116.33 116.33 40.83°
With the nearest neighbours (Å) after each atom.
Element x y z (fractional)
1 Zr 0.1679 0.1679 0.0901  6 S 2.49-2.68
2 Zr 0.8321 0.8321 0.9099  6 S 2.49-2.68
3 Bi 0.0000 0.0000 0.5000  6 S 2.80-2.89
4 S 0.0220 0.0220 0.1999  2 Zr 2.49-2.57
5 S 0.2702 0.2702 0.8865  3 Zr 2.50-2.68
6 S 0.3576 0.3576 0.3817  1 Zr 2.58
7 S 0.6424 0.6424 0.6183  1 Zr 2.58
8 S 0.7298 0.7298 0.1135  3 Zr 2.50-2.68
9 S 0.9780 0.9780 0.8001  2 Zr 2.49-2.57

=====

> What is the magnetization in the second record?

0.6 μB/f.u.

=====

Please write out number 1 again, unchanged.
Below is an optimized crystal structure of KSr2Pt2, with properties calculated at the PBE-GGA level.

For the magnetization, the calculation gives 0.0 μB/f.u. The formation energy is -252 kJ/mol of formula units.

Cell: 8.4782 8.4782 4.0816 Å, 90.00 90.00 90.00°
With the nearest neighbours (Å) after each atom.
Element x y z (fractional)
1 K 0.0000 0.0000 0.0000  4 Pt 3.36
2 K 0.5000 0.5000 0.0000  4 Pt 3.36
3 Sr 0.1588 0.3412 0.5000  6 Pt 3.16-3.32
4 Sr 0.3412 0.8412 0.5000  6 Pt 3.16-3.32
5 Sr 0.6588 0.1588 0.5000  6 Pt 3.16-3.32
6 Sr 0.8412 0.6588 0.5000  6 Pt 3.16-3.32
7 Pt 0.1231 0.6231 0.0000  1 Pt 2.95, 4 Sr 3.16
8 Pt 0.3769 0.1231 0.0000  1 Pt 2.95, 4 Sr 3.16
9 Pt 0.6231 0.8769 0.0000  1 Pt 2.95, 4 Sr 3.16
10 Pt 0.8769 0.3769 0.0000  1 Pt 2.95, 4 Sr 3.16

=====

> Which value of magnetization does entry 1 give?

0.0 μB/f.u.

=====

> Which formula does entry 2 have?

Sm3AsSeS